Record 1
AcAsHPd2 | PBE-GGA | relaxed

a b c (Å): 6.0190 6.0190 7.3986
angles (deg): 90.00 90.00 138.44
Sites, in units of the cell vectors:
1 Ac 0.0654 0.9346 0.7500
2 Ac 0.9346 0.0654 0.2500
3 As 0.2183 0.7817 0.2500
4 As 0.7817 0.2183 0.7500
5 H 0.5000 0.5000 0.0000
6 H 0.5000 0.5000 0.5000
7 Pd 0.3417 0.6583 0.5551
8 Pd 0.3417 0.6583 0.9449
9 Pd 0.6583 0.3417 0.0551
10 Pd 0.6583 0.3417 0.4449

Summary:
* uncorrected energy: -5.28 eV per atom
* density: 9.63 g/cm3

---

Record 2
AcAsH2Pt | PBE-GGA | relaxed

a b c (Å): 5.7491 5.7491 6.9476
angles (deg): 90.00 90.00 136.06
Sites, in units of the cell vectors:
1 Ac 0.2114 0.7886 0.7500
2 Ac 0.7886 0.2114 0.2500
3 As 0.0670 0.9330 0.2500
4 As 0.9330 0.0670 0.7500
5 H 0.3465 0.6535 0.0622
6 H 0.3465 0.6535 0.4378
7 H 0.6535 0.3465 0.5622
8 H 0.6535 0.3465 0.9378
9 Pt 0.5000 0.5000 0.0000
10 Pt 0.5000 0.5000 0.5000

Summary:
* uncorrected energy: -4.97 eV per atom
* density: 10.40 g/cm3

---

Record 3
Ac3As2H2Pt4 | PBE-GGA | relaxed

a b c (Å): 14.5392 14.5392 14.5392
angles (deg): 163.87 163.87 22.88
Sites, in units of the cell vectors:
1 Ac 0.0000 0.0000 0.0000
2 Ac 0.1873 0.1873 0.0000
3 Ac 0.8127 0.8127 0.0000
4 As 0.4470 0.4470 0.0000
5 As 0.5530 0.5530 0.0000
6 H 0.2806 0.2806 0.0000
7 H 0.7194 0.7194 0.0000
8 Pt 0.1069 0.6069 0.5000
9 Pt 0.3931 0.8931 0.5000
10 Pt 0.6069 0.1069 0.5000
11 Pt 0.8931 0.3931 0.5000

Summary:
* uncorrected energy: -5.43 eV per atom
* density: 11.30 g/cm3

---

Record 4
AcAsHPt3 | PBE-GGA | relaxed

a b c (Å): 6.4736 6.4736 5.8484
angles (deg): 90.00 90.00 120.08
Sites, in units of the cell vectors:
1 Ac 0.2332 0.7668 0.7500
2 Ac 0.7668 0.2332 0.2500
3 As 0.0952 0.9048 0.2500
4 As 0.9048 0.0952 0.7500
5 H 0.4853 0.5147 0.7500
6 H 0.5147 0.4853 0.2500
7 Pt 0.2854 0.2854 0.0000
8 Pt 0.2854 0.2854 0.5000
9 Pt 0.3127 0.6873 0.2500
10 Pt 0.6873 0.3127 0.7500
11 Pt 0.7146 0.7146 0.0000
12 Pt 0.7146 0.7146 0.5000

Summary:
* uncorrected energy: -5.71 eV per atom
* density: 13.91 g/cm3

---

Record 5
AcPuAsH | PBE-GGA | relaxed

a b c (Å): 5.0840 5.0840 5.0840
angles (deg): 60.00 60.00 60.00
Sites, in units of the cell vectors:
1 Ac 0.0000 0.0000 0.0000
2 Pu 0.5000 0.5000 0.5000
3 As 0.7500 0.7500 0.7500
4 H 0.2500 0.2500 0.2500

Summary:
* uncorrected energy: -7.07 eV per atom
* density: 9.77 g/cm3

---

Record 6
AcAsHRh2 | PBE-GGA | relaxed

a b c (Å): 5.9755 5.9755 7.2746
angles (deg): 90.00 90.00 139.77
Sites, in units of the cell vectors:
1 Ac 0.0629 0.9371 0.7500
2 Ac 0.9371 0.0629 0.2500
3 As 0.2178 0.7822 0.2500
4 As 0.7822 0.2178 0.7500
5 H 0.5000 0.5000 0.0000
6 H 0.5000 0.5000 0.5000
7 Rh 0.3372 0.6628 0.5519
8 Rh 0.3372 0.6628 0.9481
9 Rh 0.6628 0.3372 0.0519
10 Rh 0.6628 0.3372 0.4481

Summary:
* uncorrected energy: -6.09 eV per atom
* density: 10.07 g/cm3

---

Among the records above, which one has the highest uncorrected energy?
AcAsH2Pt

---

Among the records above, which one has the highest uncorrected energy?
AcAsH2Pt

---

Which of these has the highest density?
AcAsHPt3

---

What is the uncorrected energy in the third record?
-5.43 eV per atom